Ca2GaTePd | PBE | relaxed

The structure belongs to space group P4/mmm (No. 123); the cell edges are 5.530, 5.530 and 4.748 Å and the angles 90.00°, 90.00° and 90.00°. The asymmetric unit holds Ca at (0.000, 0.500, 0.000), Ga at (0.000, 0.000, 0.500), Te at (0.500, 0.500, 0.500) and Pd at (0.000, 0.000, 0.000).

Its calculated volume is 145 Å³ per cell. The formation energy from raw total energies comes out at -0.74 eV per atom.



CaGa2TePd | PBE | relaxed

The structure belongs to space group P4/mmm (No. 123); the cell edges are 4.826, 4.826 and 5.643 Å and the angles 90.00°, 90.00° and 90.00°. The asymmetric unit holds Ca at (0.000, 0.000, 0.000), Ga at (0.000, 0.500, 0.500), Te at (0.500, 0.500, 0.000) and Pd at (0.000, 0.000, 0.500).

Its calculated volume is 131 Å³ per cell. The formation energy from raw total energies comes out at -0.60 eV per atom. Its energy above the most stable polymorph in this dataset is 0.0 kJ/mol of atoms.



CaThGa2Pd5 | PBE | relaxed

The structure belongs to space group P4/mmm (No. 123); the cell edges are 4.342, 4.342 and 8.916 Å and the angles 90.00°, 90.00° and 90.00°. The asymmetric unit holds Ca at (0.000, 0.000, 0.000), Th at (0.000, 0.000, 0.500), Ga at (0.500, 0.500, 0.357), Pd at (0.000, 0.500, 0.225) and Pd at (0.500, 0.500, 0.000).

Its calculated volume is 168 Å³ per cell. The value obtained for the calculated total energy is -5.305 eV per atom.



CaThGaPd | PBE | relaxed

The structure belongs to space group F-43m (No. 216); the cell edges are 7.264, 7.264 and 7.264 Å and the angles 90.00°, 90.00° and 90.00°. The asymmetric unit holds Ca at (0.000, 0.000, 0.000), Th at (0.000, 0.000, 0.500), Ga at (0.250, 0.250, 0.750) and Pd at (0.250, 0.250, 0.250).

Its calculated volume is 383 Å³ per cell. The value obtained for the calculated total energy is -4.938 eV per atom.



Ca2TlGa3Pd4 | PBE | relaxed

The structure belongs to space group P-4m2 (No. 115); the cell edges are 4.387, 4.387 and 10.667 Å and the angles 90.00°, 90.00° and 90.00°. The asymmetric unit holds Ca at (0.000, 0.500, 0.235), Tl at (0.000, 0.000, 0.500), Ga at (0.000, 0.500, 0.883), Ga at (0.500, 0.500, 0.500), Pd at (0.000, 0.000, 0.000), Pd at (0.000, 0.500, 0.653) and Pd at (0.500, 0.500, 0.000).

Its calculated volume is 205 Å³ per cell. The value obtained for the calculated total energy is -4.254 eV per atom.



Ca2TlGa2Pd5 | PBE | relaxed

The structure belongs to space group P4/mbm (No. 127); the cell edges are 10.039, 10.039 and 3.748 Å and the angles 90.00°, 90.00° and 90.00°. The asymmetric unit holds Ca at (0.176, 0.324, 0.000), Tl at (0.000, 0.000, 0.000), Ga at (0.121, 0.621, 0.000), Pd at (0.000, 0.500, 0.500) and Pd at (0.067, 0.787, 0.500).

Its calculated volume is 378 Å³ per cell. The value obtained for the calculated total energy is -4.489 eV per atom.



Ca2TlGaPd | PBE | relaxed

The structure belongs to space group P4/mmm (No. 123); the cell edges are 5.557, 5.557 and 4.785 Å and the angles 90.00°, 90.00° and 90.00°. The asymmetric unit holds Ca at (0.000, 0.500, 0.000), Tl at (0.000, 0.000, 0.500), Ga at (0.500, 0.500, 0.500) and Pd at (0.500, 0.500, 0.000).

Its calculated volume is 148 Å³ per cell. The value obtained for the calculated total energy is -3.317 eV per atom.



CaTmGa2Pd5 | PBE | relaxed

The structure belongs to space group P4/mmm (No. 123); the cell edges are 4.235, 4.235 and 9.096 Å and the angles 90.00°, 90.00° and 90.00°. The asymmetric unit holds Ca at (0.000, 0.000, 0.000), Tm at (0.000, 0.000, 0.500), Ga at (0.500, 0.500, 0.365), Pd at (0.000, 0.500, 0.229) and Pd at (0.500, 0.500, 0.000).

Its calculated volume is 163 Å³ per cell. The value obtained for the calculated total energy is -4.974 eV per atom.



CaTm2GaPd4 | PBE | relaxed

The structure belongs to space group R-3m (No. 166, hexagonal axes); the cell edges are 4.7833, 4.7833 and 23.8979 Å and the angles 90.00°, 90.00° and 120.00°. The asymmetric unit holds Ca at (0.0000, 0.0000, 0.0000), Tm at (0.0000, 0.0000, 0.2436), Ga at (0.0000, 0.0000, 0.5000), Pd at (0.0000, 0.0000, 0.1273) and Pd at (0.0000, 0.0000, 0.3893).

Its calculated volume is 474 Å³ per cell. The value obtained for the calculated total energy is -5.131 eV per atom.



CaYGa2Pd5 | PBE | relaxed

The structure belongs to space group P4/mmm (No. 123); the cell edges are 4.251, 4.251 and 9.108 Å and the angles 90.00°, 90.00° and 90.00°. The asymmetric unit holds Ca at (0.000, 0.000, 0.000), Y at (0.000, 0.000, 0.500), Ga at (0.500, 0.500, 0.364), Pd at (0.000, 0.500, 0.227) and Pd at (0.500, 0.500, 0.000).

Its calculated volume is 165 Å³ per cell. The value obtained for the calculated total energy is -5.209 eV per atom.



CaYGa2Pd2 | PBE | relaxed

The structure belongs to space group P-3m1 (No. 164); the cell edges are 4.4619, 4.4619 and 7.3346 Å and the angles 90.00°, 90.00° and 120.00°. The asymmetric unit holds Ca at (0.0000, 0.0000, 0.0000), Y at (0.0000, 0.0000, 0.5000), Ga at (0.3333, 0.6667, 0.7347) and Pd at (0.3333, 0.6667, 0.2737).

Its calculated volume is 126 Å³ per cell. The value obtained for the calculated total energy is -4.940 eV per atom.



CaZnGaPd3 | PBE | relaxed

The structure belongs to space group Cmcm (No. 63); the cell edges are 6.659, 12.051 and 5.737 Å and the angles 90.00°, 90.00° and 90.00°. The asymmetric unit holds Ca at (0.000, 0.201, 0.250), Zn at (0.000, 0.442, 0.250), Ga at (0.000, 0.136, 0.750), Pd at (0.000, 0.341, 0.750) and Pd at (0.207, 0.000, 0.000).

Its calculated volume is 460 Å³ per cell. The value obtained for the calculated total energy is -4.142 eV per atom.



CaZnGa2Pd4 | PBE | relaxed

The structure belongs to space group R-3m (No. 166, hexagonal axes); the cell edges are 4.3463, 4.3463 and 25.2983 Å and the angles 90.00°, 90.00° and 120.00°. The asymmetric unit holds Ca at (0.0000, 0.0000, 0.0000), Zn at (0.0000, 0.0000, 0.5000), Ga at (0.0000, 0.0000, 0.2417), Pd at (0.0000, 0.0000, 0.1303) and Pd at (0.0000, 0.0000, 0.4016).

Its calculated volume is 414 Å³ per cell. The value obtained for the calculated total energy is -4.399 eV per atom.



Ca2Zn4Ga3Pd | PBE | relaxed

The structure belongs to space group P-4m2 (No. 115); the cell edges are 4.216, 4.216 and 10.854 Å and the angles 90.00°, 90.00° and 90.00°. The asymmetric unit holds Ca at (0.000, 0.500, 0.248), Zn at (0.000, 0.000, 0.500), Zn at (0.000, 0.500, 0.864), Zn at (0.500, 0.500, 0.500), Ga at (0.000, 0.000, 0.000), Ga at (0.000, 0.500, 0.636) and Pd at (0.500, 0.500, 0.000).

Its calculated volume is 193 Å³ per cell. The value obtained for the calculated total energy is -2.726 eV per atom.



Ca2Zn2GaPd5 | PBE | relaxed

The structure belongs to space group P4/mbm (No. 127); the cell edges are 9.955, 9.955 and 3.557 Å and the angles 90.00°, 90.00° and 90.00°. The asymmetric unit holds Ca at (0.173, 0.327, 0.000), Zn at (0.127, 0.627, 0.000), Ga at (0.000, 0.000, 0.000), Pd at (0.000, 0.500, 0.500) and Pd at (0.062, 0.803, 0.500).

Its calculated volume is 353 Å³ per cell. The value obtained for the calculated total energy is -4.199 eV per atom.



Ca2Zn6GaPd | PBE | relaxed

The structure belongs to space group R-3m (No. 166, hexagonal axes); the cell edges are 6.3896, 6.3896 and 34.5477 Å and the angles 90.00°, 90.00° and 120.00°. The asymmetric unit holds Ca at (0.0000, 0.0000, 0.1357), Ca at (0.0000, 0.0000, 0.3074), Zn at (0.0478, 0.5239, 0.7216), Zn at (0.0678, 0.5339, 0.8796), Ga at (0.0000, 0.0000, 0.4230), Pd at (0.0000, 0.0000, 0.0000) and Pd at (0.0000, 0.0000, 0.5000).

Its calculated volume is 1222 Å³ per cell. The value obtained for the calculated total energy is -2.194 eV per atom.



CaZn4GaPd2 | PBE | relaxed

The structure belongs to space group R-3m (No. 166, hexagonal axes); the cell edges are 4.3735, 4.3735 and 25.6394 Å and the angles 90.00°, 90.00° and 120.00°. The asymmetric unit holds Ca at (0.0000, 0.0000, 0.0000), Zn at (0.0000, 0.0000, 0.1276), Zn at (0.0000, 0.0000, 0.3995), Ga at (0.0000, 0.0000, 0.5000) and Pd at (0.0000, 0.0000, 0.2421).

Its calculated volume is 425 Å³ per cell. The value obtained for the calculated total energy is -2.868 eV per atom.



Ca2ZnGa5Pd2 | PBE | relaxed

The structure belongs to space group P4/mbm (No. 127); the cell edges are 9.683, 9.683 and 4.088 Å and the angles 90.00°, 90.00° and 90.00°. The asymmetric unit holds Ca at (0.184, 0.316, 0.000), Zn at (0.000, 0.000, 0.000), Ga at (0.000, 0.500, 0.500), Ga at (0.056, 0.800, 0.500) and Pd at (0.112, 0.612, 0.000).

Its calculated volume is 383 Å³ per cell. The value obtained for the calculated total energy is -3.564 eV per atom.



Ca3ZnGa2Pd9 | PBE | relaxed

The structure belongs to space group P-3m1 (No. 164); the cell edges are 7.3242, 7.3242 and 6.6888 Å and the angles 90.00°, 90.00° and 120.00°. The asymmetric unit holds Ca at (0.0000, 0.0000, 0.0000), Ca at (0.3333, 0.6667, 0.6663), Zn at (0.0000, 0.0000, 0.5000), Ga at (0.3333, 0.6667, 0.1665), Pd at (0.0000, 0.5000, 0.0000) and Pd at (0.1683, 0.3365, 0.3352).

Its calculated volume is 311 Å³ per cell. The value obtained for the calculated total energy is -4.388 eV per atom.



CaZnGaPd | PBE | relaxed

The structure belongs to space group R3m (No. 160, hexagonal axes); the cell edges are 4.3997, 4.3997 and 15.1057 Å and the angles 90.00°, 90.00° and 120.00°. The asymmetric unit holds Ca at (0.0000, 0.0000, 0.0000), Zn at (0.0000, 0.0000, 0.7983), Ga at (0.0000, 0.0000, 0.5357) and Pd at (0.0000, 0.0000, 0.1944).

Its calculated volume is 253 Å³ per cell. Its energy above the most stable polymorph in this dataset is 0.0 kJ/mol of atoms.



CaZn2GaPd4 | PBE | relaxed

The structure belongs to space group R-3m (No. 166, hexagonal axes); the cell edges are 4.4448, 4.4448 and 23.1745 Å and the angles 90.00°, 90.00° and 120.00°. The asymmetric unit holds Ca at (0.0000, 0.0000, 0.0000), Zn at (0.0000, 0.0000, 0.2489), Ga at (0.0000, 0.0000, 0.5000), Pd at (0.0000, 0.0000, 0.1310) and Pd at (0.0000, 0.0000, 0.3936).

Its calculated volume is 397 Å³ per cell. The value obtained for the calculated total energy is -4.124 eV per atom.



CaZn4Ga2Pd | PBE | relaxed

The structure belongs to space group R-3m (No. 166, hexagonal axes); the cell edges are 4.3402, 4.3402 and 27.0565 Å and the angles 90.00°, 90.00° and 120.00°. The asymmetric unit holds Ca at (0.0000, 0.0000, 0.0000), Zn at (0.0000, 0.0000, 0.1363), Zn at (0.0000, 0.0000, 0.4031), Ga at (0.0000, 0.0000, 0.2470) and Pd at (0.0000, 0.0000, 0.5000).

Its calculated volume is 441 Å³ per cell. The value obtained for the calculated total energy is -2.539 eV per atom.